1.
DFT (meta-GGA SCAN) results for Ba2NbAl2 at its PBEsol-relaxed geometry.

Values from the calculation:
E_form, eV per atom: 0.87

Unit cell a=4.2167 b=4.2167 c=8.0513 alpha=105.18 beta=105.18 gamma=90.00
Sites, in units of the cell vectors:
1 Nb 0.0000 0.0000 0.0000
2 Ba 0.2500 0.7500 0.5000
3 Ba 0.7500 0.2500 0.5000
4 Al 0.4197 0.4197 0.8394
5 Al 0.5803 0.5803 0.1606

***

2.
DFT (meta-GGA SCAN) results for Ba3NbAl at its PBEsol-relaxed geometry.

Values from the calculation:
E_form, eV per atom: 0.92

Unit cell a=5.8764 b=5.8764 c=5.8764 alpha=90.00 beta=90.00 gamma=90.00
Sites, in units of the cell vectors:
1 Nb 0.0000 0.0000 0.0000
2 Ba 0.0000 0.5000 0.0000
3 Ba 0.0000 0.0000 0.5000
4 Ba 0.5000 0.0000 0.0000
5 Al 0.5000 0.5000 0.5000

***

3.
DFT (meta-GGA SCAN) results for Ba6Nd2Al4O15 at its PBEsol-relaxed geometry.

Values from the calculation:
Uncorrected formation energy, kcal/mol of atoms: -75.2

Unit cell a=6.9913 b=11.5679 c=11.5679 alpha=119.41 beta=90.31 gamma=90.31
Sites, in units of the cell vectors:
1 Ba 0.5088 0.9993 0.0034
2 Ba 0.0088 0.0034 0.9993
3 Ba 0.6866 0.6569 0.8289
4 Ba 0.6779 0.1754 0.3481
5 Ba 0.6758 0.1707 0.8228
6 Ba 0.1779 0.3481 0.1754
7 Ba 0.1866 0.8289 0.6569
8 Ba 0.1758 0.8228 0.1707
9 Ba 0.3458 0.0399 0.5175
10 Ba 0.8458 0.5175 0.0399
11 Ba 0.9889 0.3334 0.6666
12 Ba 0.4889 0.6666 0.3334
13 Nd 0.3479 0.4786 0.9592
14 Nd 0.3504 0.4812 0.5195
15 Nd 0.8479 0.9592 0.4786
16 Nd 0.8504 0.5195 0.4812
17 Al 0.5277 0.3359 0.6640
18 Al 0.0277 0.6640 0.3359
19 Al 0.1915 0.6368 0.8135
20 Al 0.1732 0.1861 0.3644
21 Al 0.1838 0.1787 0.8153
22 Al 0.6732 0.3644 0.1861
23 Al 0.6915 0.8135 0.6368
24 Al 0.6838 0.8153 0.1787
25 O 0.7731 0.2047 0.1051
26 O 0.7808 0.8884 0.7996
27 O 0.7961 0.8775 0.0842
28 O 0.2808 0.7996 0.8884
29 O 0.2731 0.1051 0.2047
30 O 0.2961 0.0842 0.8775
31 O 0.3612 0.5029 0.7435
32 O 0.3483 0.2620 0.4995
33 O 0.3460 0.2597 0.7536
34 O 0.8483 0.4995 0.2620
35 O 0.8612 0.7435 0.5029
36 O 0.8460 0.7536 0.2597
37 O 0.6771 0.1792 0.5878
38 O 0.6580 0.4134 0.8236
39 O 0.6717 0.4170 0.5828
40 O 0.1580 0.8236 0.4134
41 O 0.1771 0.5878 0.1792
42 O 0.1717 0.5828 0.4170
43 O 0.5457 0.3993 0.3315
44 O 0.5788 0.9261 0.6000
45 O 0.5251 0.6824 0.0768
46 O 0.5518 0.6705 0.5994
47 O 0.5258 0.3953 0.0793
48 O 0.5729 0.9374 0.3211
49 O 0.0518 0.5994 0.6705
50 O 0.0258 0.0793 0.3953
51 O 0.0729 0.3211 0.9374
52 O 0.0457 0.3315 0.3993
53 O 0.0788 0.6000 0.9261
54 O 0.0251 0.0768 0.6824

***

4.
DFT (meta-GGA SCAN) results for Ba2NdAlO5 at its PBEsol-relaxed geometry.

Values from the calculation:
Uncorrected formation energy, kcal/mol of atoms: -75.3

Unit cell a=6.1077 b=7.3404 c=7.5583 alpha=118.21 beta=90.00 gamma=90.00
Sites, in units of the cell vectors:
1 Ba 0.7582 0.1386 0.3985
2 Ba 0.7551 0.7022 0.8551
3 Ba 0.2582 0.8614 0.6015
4 Ba 0.2551 0.2978 0.1449
5 Nd 0.7600 0.5954 0.3294
6 Nd 0.2600 0.4046 0.6706
7 Al 0.2736 0.8293 0.1648
8 Al 0.7736 0.1707 0.8352
9 O 0.4962 0.4998 0.4876
10 O 0.7337 0.9088 0.6471
11 O 0.5853 0.3190 0.7766
12 O 0.2400 0.7798 0.9122
13 O 0.2337 0.0912 0.3529
14 O 0.0459 0.2306 0.7976
15 O 0.9962 0.5002 0.5124
16 O 0.5459 0.7694 0.2024
17 O 0.7400 0.2202 0.0878
18 O 0.0853 0.6810 0.2234